w.
VASP calculation (GGA-PBE) on MnFeSb2I after structural relaxation.

Structure (POSCAR):
```
MnFeSb2I
1.0
-0.911 0.985 4.637
-2.788 -3.931 0.287
4.555 -3.117 1.556
I Sb Mn Fe
1 2 1 1
Direct
0.000 0.000 0.500
0.000 0.500 0.000
0.500 0.000 0.000
0.000 0.000 0.000
0.500 0.500 0.500
```

Computed properties:
Size of the total moment in μB/cell: 3.3
Symmetry: P4/mmm
D(E_F) in states/eV per cell: 6.66
Volume in Å³ per atom: 26.727
Crystal system: tetragonal

---

x.
VASP calculation (GGA-PBE) on MnFeSb2I after structural relaxation.

Structure (POSCAR):
```
MnFeSb2I
1.0
-4.674 -1.398 -0.287
1.101 -4.157 2.322
-1.060 2.515 5.006
I Sb Mn Fe
1 2 1 1
Direct
0.000 0.000 0.500
0.000 0.500 0.000
0.500 0.000 0.000
0.500 0.500 0.500
0.000 0.000 0.000
```

Computed properties:
Size of the total moment in μB/cell: 2.8
Symmetry: P4/mmm
D(E_F) in states/eV per cell: 4.95
Volume in Å³ per atom: 27.234
Crystal system: tetragonal

---

Result of the stability comparison: x is the most stable of them.

---

w.
VASP calculation (GGA-PBE) on FeMoI2 after structural relaxation.

Structure (POSCAR):
```
FeMoI2
1.0
0.000 3.354 3.354
3.354 0.000 3.354
3.354 3.354 0.000
I Mo Fe
2 1 1
Direct
0.250 0.250 0.250
0.750 0.750 0.750
0.500 0.500 0.500
0.000 0.000 0.000
```

Computed properties:
Size of the total moment in μB/cell: 0.0
Symmetry: Fm-3m
D(E_F) in states/eV per cell: 6.83
Volume in Å³ per atom: 18.859
Crystal system: cubic

---

x.
VASP calculation (GGA-PBE) on FeMoI2 after structural relaxation.

Structure (POSCAR):
```
FeMoI2
1.0
-4.494 -3.058 2.793
4.075 -2.527 3.789
-0.914 1.630 6.999
I Mo Fe
4 2 2
Direct
0.606 0.125 0.250
0.144 0.625 0.250
0.375 0.394 0.750
0.875 0.856 0.750
0.000 0.000 0.000
0.750 0.250 0.500
0.500 0.500 0.000
0.250 0.750 0.500
```

Computed properties:
Size of the total moment in μB/cell: 2.0
Symmetry: I-42d
D(E_F) in states/eV per cell: 8.06
Volume in Å³ per atom: 27.142
Crystal system: tetragonal

---

Result of the stability comparison: x is the most stable of them.

---

w.
VASP calculation (GGA-PBE) on Fe3MoI after structural relaxation.

Structure (POSCAR):
```
Fe3MoI
1.0
4.462 0.000 0.000
0.000 4.462 0.000
0.000 0.000 4.462
I Mo Fe
1 1 3
Direct
0.000 0.000 0.000
0.500 0.500 0.500
0.000 0.500 0.000
0.000 0.000 0.500
0.500 0.000 0.000
```

Computed properties:
Size of the total moment in μB/cell: 0.0
Symmetry: Pm-3m
D(E_F) in states/eV per cell: 14.96
Volume in Å³ per atom: 17.769
Crystal system: cubic

---

x.
VASP calculation (GGA-PBE) on Fe3MoI after structural relaxation.

Structure (POSCAR):
```
Fe3MoI
1.0
-2.207 0.832 -3.996
3.495 -1.961 -2.339
-2.108 -4.122 0.307
I Mo Fe
1 1 3
Direct
0.500 0.500 0.500
0.000 0.000 0.000
0.000 0.500 0.000
0.000 0.000 0.500
0.500 0.000 0.000
```

Computed properties:
Size of the total moment in μB/cell: 6.0
Symmetry: Pm-3m
D(E_F) in states/eV per cell: 7.98
Volume in Å³ per atom: 19.983
Crystal system: cubic

---

Result of the stability comparison: x is the most stable of them.

---

w.
VASP calculation (GGA-PBE) on Fe2I2N after structural relaxation.

Structure (POSCAR):
```
Fe2I2N
1.0
-3.044 -0.278 -1.708
-0.693 -2.970 1.719
-5.047 2.050 5.073
I Fe N
2 2 1
Direct
0.381 0.381 0.238
0.619 0.619 0.762
0.750 0.250 0.500
0.250 0.750 0.500
0.000 0.000 0.000
```

Computed properties:
Size of the total moment in μB/cell: 0.0
Symmetry: I4/mmm
D(E_F) in states/eV per cell: 8.73
Volume in Å³ per atom: 17.210
Crystal system: tetragonal

---

x.
VASP calculation (GGA-PBE) on Fe2I2N after structural relaxation.

Structure (POSCAR):
```
Fe2I2N
1.0
-6.958 -0.267 -0.231
0.269 -6.961 -0.036
-0.120 -0.023 3.641
I Fe N
4 4 2
Direct
0.311 0.811 0.000
0.811 0.689 0.000
0.689 0.189 0.000
0.189 0.311 0.000
0.108 0.608 0.500
0.608 0.892 0.500
0.892 0.392 0.500
0.392 0.108 0.500
0.000 0.000 0.000
0.500 0.500 0.000
```

Computed properties:
Size of the total moment in μB/cell: 1.5
Symmetry: P4/mbm
D(E_F) in states/eV per cell: 17.87
Volume in Å³ per atom: 17.681
Crystal system: tetragonal

---

Result of the stability comparison: w is the most stable of them.

---

w.
VASP calculation (GGA-PBE) on Fe2IN after structural relaxation.

Structure (POSCAR):
```
Fe2IN
1.0
0.000 2.959 2.959
2.959 0.000 2.959
2.959 2.959 0.000
I Fe N
1 2 1
Direct
0.500 0.500 0.500
0.250 0.250 0.250
0.750 0.750 0.750
0.000 0.000 0.000
```

Computed properties:
Size of the total moment in μB/cell: 3.4
Symmetry: Fm-3m
D(E_F) in states/eV per cell: 4.52
Volume in Å³ per atom: 12.950
Crystal system: cubic

---

x.
VASP calculation (GGA-PBE) on Fe2IN after structural relaxation.

Structure (POSCAR):
```
Fe2IN
1.0
4.788 0.000 0.000
0.000 4.788 0.000
2.394 2.394 5.213
I Fe N
2 4 2
Direct
0.000 0.000 0.000
0.750 0.250 0.500
0.493 0.125 0.250
0.257 0.625 0.250
0.375 0.507 0.750
0.875 0.743 0.750
0.500 0.500 0.000
0.250 0.750 0.500
```

Computed properties:
Size of the total moment in μB/cell: 4.0
Symmetry: I-42d
D(E_F) in states/eV per cell: 2.57
Volume in Å³ per atom: 14.936
Crystal system: tetragonal

---

Result of the stability comparison: x is the most stable of them.

---

w.
VASP calculation (GGA-PBE) on NbFeIN2 after structural relaxation.

Structure (POSCAR):
```
NbFeIN2
1.0
-3.220 2.133 -0.051
-1.347 -2.104 -2.945
-2.202 -3.244 3.325
I Nb Fe N
1 1 1 2
Direct
0.000 0.000 0.500
0.500 0.500 0.500
0.000 0.000 0.000
0.000 0.500 0.000
0.500 0.000 0.000
```

Computed properties:
Size of the total moment in μB/cell: 3.2
Symmetry: P4/mmm
D(E_F) in states/eV per cell: 4.67
Volume in Å³ per atom: 15.338
Crystal system: tetragonal

---

x.
VASP calculation (GGA-PBE) on NbFeIN2 after structural relaxation.

Structure (POSCAR):
```
NbFeIN2
1.0
3.966 0.000 0.000
0.000 3.966 0.000
0.000 0.000 5.830
I Nb Fe N
1 1 1 2
Direct
0.000 0.000 0.500
0.000 0.000 0.000
0.500 0.500 0.500
0.000 0.500 0.000
0.500 0.000 0.000
```

Computed properties:
Size of the total moment in μB/cell: 3.4
Symmetry: P4/mmm
D(E_F) in states/eV per cell: 6.33
Volume in Å³ per atom: 18.342
Crystal system: tetragonal

---

Result of the stability comparison: x is the most stable of them.

---

w.
VASP calculation (GGA-PBE) on NbFeI2N after structural relaxation.

Structure (POSCAR):
```
NbFeI2N
1.0
-1.495 -5.293 -1.643
-0.600 -1.538 5.498
-3.756 1.093 -0.104
I Nb Fe N
2 1 1 1
Direct
0.000 0.500 0.000
0.500 0.000 0.000
0.000 0.000 0.000
0.500 0.500 0.500
0.000 0.000 0.500
```

Computed properties:
Size of the total moment in μB/cell: 4.3
Symmetry: P4/mmm
D(E_F) in states/eV per cell: 5.26
Volume in Å³ per atom: 25.796
Crystal system: tetragonal

---

x.
VASP calculation (GGA-PBE) on NbFeI2N after structural relaxation.

Structure (POSCAR):
```
NbFeI2N
1.0
5.371 0.000 0.000
0.000 5.371 0.000
0.000 0.000 3.475
I Nb Fe N
2 1 1 1
Direct
0.000 0.500 0.000
0.500 0.000 0.000
0.500 0.500 0.500
0.000 0.000 0.000
0.000 0.000 0.500
```

Computed properties:
Size of the total moment in μB/cell: 2.6
Symmetry: P4/mmm
D(E_F) in states/eV per cell: 3.61
Volume in Å³ per atom: 20.050
Crystal system: tetragonal

---

Result of the stability comparison: w is the most stable of them.

---

w.
VASP calculation (GGA-PBE) on FeNiI2N after structural relaxation.

Structure (POSCAR):
```
FeNiI2N
1.0
5.465 0.000 0.000
0.000 5.465 0.000
0.000 0.000 3.507
I Ni Fe N
2 1 1 1
Direct
0.000 0.500 0.000
0.500 0.000 0.000
0.000 0.000 0.000
0.500 0.500 0.500
0.000 0.000 0.500
```

Computed properties:
Size of the total moment in μB/cell: 2.8
Symmetry: P4/mmm
D(E_F) in states/eV per cell: 5.48
Volume in Å³ per atom: 20.948
Crystal system: tetragonal

---

x.
VASP calculation (GGA-PBE) on FeNiI2N after structural relaxation.

Structure (POSCAR):
```
FeNiI2N
1.0
-0.186 3.898 -3.594
-4.193 -2.309 -2.287
-2.108 1.794 2.054
I Ni Fe N
2 1 1 1
Direct
0.000 0.500 0.000
0.500 0.000 0.000
0.500 0.500 0.500
0.000 0.000 0.000
0.000 0.000 0.500
```

Computed properties:
Size of the total moment in μB/cell: 0.9
Symmetry: P4/mmm
D(E_F) in states/eV per cell: 5.00
Volume in Å³ per atom: 19.402
Crystal system: tetragonal

---

Result of the stability comparison: x is the most stable of them.